A plane-wave DFT calculation with meta-GGA SCAN was carried out for Dy2CoGe2 at its PBEsol-relaxed geometry.

It has space group C2/m (No. 12), with a = 10.283 Å, b = 4.137 Å, c = 10.041 Å, α = 90.00°, β = 117.53° and γ = 90.00°. Symmetry generates all atoms from Dy at (0.005, 0.000, 0.332), Dy at (0.189, 0.000, 0.116), Co at (0.225, 0.500, 0.345), Ge at (0.014, 0.500, 0.878) and Ge at (0.158, 0.500, 0.560).

As for the total magnetization: 0.0 μB/cell. As for the formation energy: -0.78 eV/atom.



A plane-wave DFT calculation with meta-GGA SCAN was carried out for KScH4C4O10 at its PBEsol-relaxed geometry.

It has space group P6_222 (No. 180), with a = 8.7570 Å, b = 8.7570 Å, c = 11.6090 Å, α = 90.00°, β = 90.00° and γ = 120.00°. Symmetry generates all atoms from K at (0.0000, 0.0000, 0.0000), Sc at (0.0000, 0.5000, 0.6667), H at (0.1007, 0.3480, 0.1850), C at (0.2100, 0.4200, 0.5000), C at (0.3105, 0.6211, 0.5000), O at (0.0000, 0.2304, 0.1667), O at (0.0798, 0.3446, 0.5669) and O at (0.2428, 0.5496, 0.7742).

As for the total magnetization: 0.3 μB/cell. The total energy comes out at -171.25 eV/f.u.



A plane-wave DFT calculation with meta-GGA SCAN was carried out for MnFeAgPd2 at its PBEsol-relaxed geometry.

It has space group P4/mmm (No. 123), with a = 4.561 Å, b = 4.561 Å, c = 3.991 Å, α = 90.00°, β = 90.00° and γ = 90.00°. Symmetry generates all atoms from Mn at (0.000, 0.000, 0.000), Fe at (0.000, 0.000, 0.500), Ag at (0.500, 0.500, 0.000) and Pd at (0.000, 0.500, 0.500).

As for the total magnetization: 4.5 μB/cell. As for the formation energy: 0.85 eV/atom.



A plane-wave DFT calculation with meta-GGA SCAN was carried out for LiCd2In at its PBEsol-relaxed geometry.

It has space group P2/m (No. 10), with a = 3.111 Å, b = 5.024 Å, c = 5.338 Å, α = 90.00°, β = 92.08° and γ = 90.00°. Symmetry generates all atoms from Li at (0.000, 0.000, 0.000), Cd at (0.275, 0.500, 0.234) and In at (0.500, 0.000, 0.500).

As for the total magnetization: 0.0 μB/cell. As for the formation energy: -0.15 eV/atom.



A plane-wave DFT calculation with meta-GGA SCAN was carried out for Li24Al5 at its PBEsol-relaxed geometry.

It has space group I-43m (No. 217), with a = 9.878 Å, b = 9.878 Å, c = 9.878 Å, α = 90.00°, β = 90.00° and γ = 90.00°. Symmetry generates all atoms from Li at (0.046, 0.353, 0.353), Li at (0.089, 0.089, 0.279), Al at (0.000, 0.000, 0.000) and Al at (0.178, 0.178, 0.822).

As for the total magnetization: 2.6 μB/cell. As for the formation energy: -0.05 eV/atom.



A plane-wave DFT calculation with meta-GGA SCAN was carried out for BaIn4As at its PBEsol-relaxed geometry.

It has space group F-43m (No. 216), with a = 8.723 Å, b = 8.723 Å, c = 8.723 Å, α = 90.00°, β = 90.00° and γ = 90.00°. Symmetry generates all atoms from Ba at (0.000, 0.000, 0.000), In at (0.124, 0.124, 0.376) and As at (0.250, 0.250, 0.750).

As for the total magnetization: 0.0 μB/cell. As for the formation energy: -0.07 eV/atom.